(1)
## Pr2SmPaRu2 (PBE)

Data for a geometry-optimized Pr2SmPaRu2 structure.

Lattice parameters (Å, degrees): 8.3964 8.3964 8.3964 130.18 72.01 131.57
Positions (direct):
Pr 0.1947 0.2171 0.4118
Pr 0.3053 0.7171 0.0224
Pr 0.6947 0.2829 0.9776
Pr 0.8053 0.7829 0.5882
Sm 0.2500 0.7500 0.5000
Sm 0.7500 0.2500 0.5000
Pa 0.2500 0.2500 0.0000
Pa 0.7500 0.7500 0.0000
Ru 0.0937 0.7925 0.8862
Ru 0.4063 0.2925 0.6987
Ru 0.5937 0.7075 0.3013
Ru 0.9063 0.2075 0.1138

Calculated values
ΔE_f = -270 meV/atom
SG = Ibam, No. 72

=====

(2)
## SmCuPt4 (PBE)

Data for a geometry-optimized SmCuPt4 structure.

Lattice parameters (Å, degrees): 8.0491 8.0491 6.9945 90.00 90.00 152.43
Positions (direct):
Sm 0.1096 0.8904 0.7500
Sm 0.8904 0.1096 0.2500
Cu 0.2420 0.7580 0.2500
Cu 0.7580 0.2420 0.7500
Pt 0.0753 0.9247 0.2500
Pt 0.3243 0.6757 0.5534
Pt 0.3243 0.6757 0.9466
Pt 0.5000 0.5000 0.0000
Pt 0.5000 0.5000 0.5000
Pt 0.6757 0.3243 0.0534
Pt 0.6757 0.3243 0.4466
Pt 0.9247 0.0753 0.7500

Calculated values
Polymorph energy (0 for the lowest one) = 0.32 eV/f.u.
ΔE_f = -572 meV/atom
SG = Cmcm, No. 63

=====

(3)
## KReSe2 (PBE)

Data for a geometry-optimized KReSe2 structure.

Lattice parameters (Å, degrees): 3.2176 3.2176 7.8618 90.00 90.00 90.00
Positions (direct):
K 0.0000 0.0000 0.0000
Re 0.0000 0.0000 0.5000
Se 0.5000 0.5000 0.3098
Se 0.5000 0.5000 0.6902

Calculated values
Polymorph energy (0 for the lowest one) = 1.06 eV/f.u.
SG = P4/mmm, No. 123
Energy relative to the elements, uncorrected = 0.001 eV per atom

=====

(4)
## AlSb2Pt (PBE)

Data for a geometry-optimized AlSb2Pt structure.

Lattice parameters (Å, degrees): 3.3637 3.3637 7.5462 90.00 90.00 90.00
Positions (direct):
Al 0.0000 0.0000 0.0000
Sb 0.5000 0.5000 0.2730
Sb 0.5000 0.5000 0.7270
Pt 0.0000 0.0000 0.5000

Calculated values
SG = P4/mmm, No. 123
Energy relative to the elements, uncorrected = 0.053 eV per atom

=====

(5)
## Tb6Sm3Er2Pb (PBE)

Data for a geometry-optimized Tb6Sm3Er2Pb structure.

Lattice parameters (Å, degrees): 6.1537 6.1537 11.6842 95.09 95.09 120.03
Positions (direct):
Tb 0.0808 0.4087 0.2447
Tb 0.2473 0.2473 0.7530
Tb 0.4087 0.0808 0.2447
Tb 0.5913 0.9192 0.7553
Tb 0.7527 0.7527 0.2470
Tb 0.9192 0.5913 0.7553
Sm 0.1681 0.8319 0.5000
Sm 0.5000 0.5000 0.5000
Sm 0.8319 0.1681 0.5000
Er 0.3343 0.6657 0.0000
Er 0.6657 0.3343 0.0000
Pb 0.0000 0.0000 0.0000

Calculated values
ΔE_f = -45 meV/atom
SG = C2/m, No. 12

=====

(6)
## Gd2OsRu (PBE)

Data for a geometry-optimized Gd2OsRu structure.

Lattice parameters (Å, degrees): 3.4301 3.4301 6.8700 90.00 90.00 90.00
Positions (direct):
Gd 0.0000 0.0000 0.2498
Gd 0.0000 0.0000 0.7502
Os 0.5000 0.5000 0.0000
Ru 0.5000 0.5000 0.5000

Calculated values
ΔE_f = -102 meV/atom
SG = P4/mmm, No. 123

=====

(7)
## Be2TlAsBr (PBE)

Data for a geometry-optimized Be2TlAsBr structure.

Lattice parameters (Å, degrees): 4.3196 4.3196 9.7473 90.00 90.00 90.00
Positions (direct):
Be 0.0000 0.5000 0.0000
Be 0.5000 0.0000 0.0000
Tl 0.0000 0.0000 0.5000
As 0.5000 0.5000 0.0000
Br 0.5000 0.5000 0.5000

Calculated values
SG = P4/mmm, No. 123
Energy relative to the elements, uncorrected = 0.332 eV per atom

=====

(8)
## SrVTe2 (PBE)

Data for a geometry-optimized SrVTe2 structure.

Lattice parameters (Å, degrees): 7.9546 7.9546 8.1845 90.00 90.00 90.00
Positions (direct):
Sr 0.0000 0.0000 0.0000
Sr 0.0000 0.5000 0.2500
Sr 0.5000 0.0000 0.7500
Sr 0.5000 0.5000 0.5000
V 0.0000 0.0000 0.5000
V 0.0000 0.5000 0.7500
V 0.5000 0.0000 0.2500
V 0.5000 0.5000 0.0000
Te 0.1860 0.7500 0.6250
Te 0.2500 0.1860 0.3750
Te 0.2500 0.3140 0.8750
Te 0.3140 0.7500 0.1250
Te 0.6860 0.2500 0.1250
Te 0.7500 0.6860 0.8750
Te 0.7500 0.8140 0.3750
Te 0.8140 0.2500 0.6250

Calculated values
Polymorph energy (0 for the lowest one) = 0.00 eV/f.u.
SG = I-42d, No. 122
Energy relative to the elements, uncorrected = -0.692 eV per atom

=====

(9)
## CsPrAuO2 (PBE)

Data for a geometry-optimized CsPrAuO2 structure.

Lattice parameters (Å, degrees): 7.0114 5.4791 7.0157 90.00 95.57 90.00
Positions (direct):
Cs 0.0000 0.1984 0.2500
Cs 0.0000 0.8016 0.7500
Pr 0.5000 0.4871 0.7500
Pr 0.5000 0.5129 0.2500
Au 0.5000 0.0000 0.0000
Au 0.5000 0.0000 0.5000
O 0.3047 0.3644 0.9866
O 0.3047 0.6356 0.4866
O 0.6953 0.3644 0.5134
O 0.6953 0.6356 0.0134

Calculated values
SG = P2/c, No. 13
Energy relative to the elements, uncorrected = -1.553 eV per atom

=====

(10)
## BMoPd (PBE)

Data for a geometry-optimized BMoPd structure.

Lattice parameters (Å, degrees): 8.5917 3.0217 6.4027 90.00 111.21 90.00
Positions (direct):
B 0.0867 0.0000 0.1265
B 0.4133 0.5000 0.8735
B 0.5867 0.5000 0.1265
B 0.9133 0.0000 0.8735
Mo 0.1759 0.0000 0.8332
Mo 0.3241 0.5000 0.1668
Mo 0.6759 0.5000 0.8332
Mo 0.8241 0.0000 0.1668
Pd 0.1071 0.5000 0.3888
Pd 0.3929 0.0000 0.6112
Pd 0.6071 0.0000 0.3888
Pd 0.8929 0.5000 0.6112

Calculated values
ΔE_f = -18 meV/atom
SG = C2/m, No. 12

=====

D(E_F) (computed, states/eV/cell): 13.01, 10.05, 3.05, 1.98, 15.93, 4.46, 1.89, 11.31, 4.53, 8.75